First-principles (PBE) data for a relaxed structure of SrSbMo2, as listed in the Alexandria database.

Cell lengths 3.6444, 4.9643, 9.5425 Å; angles 90.00, 90.00, 90.00 degrees
Fractional positions:
Sr 0.0000 0.0000 0.0000
Sr 0.5000 0.5000 0.0000
Sb 0.0000 0.0000 0.5000
Sb 0.5000 0.5000 0.5000
Mo 0.0000 0.5000 0.2855
Mo 0.0000 0.5000 0.7145
Mo 0.5000 0.0000 0.2855
Mo 0.5000 0.0000 0.7145

Values from the calculation:
SG: Cmmm
formation energy from raw total energies: 0.892 eV/atom
total magnetization: 0.00 μB per cell

---

First-principles (PBE) data for a relaxed structure of SrSbMo2, as listed in the Alexandria database.

Cell lengths 4.2268, 4.2268, 9.6016 Å; angles 90.00, 90.00, 90.00 degrees
Fractional positions:
Sr 0.0000 0.0000 0.0000
Sr 0.5000 0.5000 0.5000
Sb 0.0000 0.0000 0.5000
Sb 0.5000 0.5000 0.0000
Mo 0.0000 0.5000 0.2500
Mo 0.0000 0.5000 0.7500
Mo 0.5000 0.0000 0.2500
Mo 0.5000 0.0000 0.7500

Values from the calculation:
SG: I4/mmm
formation energy from raw total energies: 0.863 eV/atom
total magnetization: 0.00 μB per cell

---

First-principles (PBE) data for a relaxed structure of SrSbMo2, as listed in the Alexandria database.

Cell lengths 3.6361, 3.6361, 7.0025 Å; angles 90.00, 90.00, 90.00 degrees
Fractional positions:
Sr 0.0000 0.0000 0.0000
Sb 0.0000 0.0000 0.5000
Mo 0.5000 0.5000 0.3279
Mo 0.5000 0.5000 0.6721

Values from the calculation:
SG: P4/mmm
formation energy from raw total energies: 0.501 eV/atom
total magnetization: 0.00 μB per cell